[1]
This record from Alexandria via LeMat-Bulk describes a relaxed BaMn2Tl crystal. The functional is PBE-GGA.

Cell: 6.799 10.713 3.283 Å, 90.00 115.33 90.00°
Space group C2/m (No. 12)
Symmetry-distinct sites (fractional):
Ba  0.000  0.000  0.000 [2 per cell]
Mn  0.250  0.250  0.500 [4 per cell]
Tl  0.000  0.500  0.000 [2 per cell]

Calculated values
Theoretical density   6.938 g/cm³
DOS(E_F)   8.1 states/eV per cell
ΔH_f (0 K)   0.7781 eV per atom

[2]
This record from Alexandria via LeMat-Bulk describes a relaxed BaMn2Tl crystal. The functional is PBE-GGA.

Cell: 4.5666 4.5666 18.5185 Å, 90.00 90.00 120.00°
Space group R3m (No. 160, hexagonal axes)
Symmetry-distinct sites (fractional):
Ba  0.0000  0.0000  0.0000 [3 per cell]
Mn  0.0000  0.0000  0.1960 [3 per cell]
Mn  0.0000  0.0000  0.5221 [3 per cell]
Tl  0.0000  0.0000  0.8036 [3 per cell]

Calculated values
Theoretical density   6.727 g/cm³
DOS(E_F)   12.8 states/eV per cell
ΔH_f (0 K)   0.2420 eV per atom

[3]
This record from Alexandria via LeMat-Bulk describes a relaxed BaMnTl2 crystal. The functional is PBE-GGA.

Cell: 4.8390 4.8390 18.8597 Å, 90.00 90.00 120.00°
Space group R-3m (No. 166, hexagonal axes)
Symmetry-distinct sites (fractional):
Ba  0.0000  0.0000  0.0000 [3 per cell]
Mn  0.0000  0.0000  0.5000 [3 per cell]
Tl  0.0000  0.0000  0.2137 [6 per cell]

Calculated values
Theoretical density   7.827 g/cm³
DOS(E_F)   8.3 states/eV per cell
ΔH_f (0 K)   0.0309 eV per atom

[4]
This record from Alexandria via LeMat-Bulk describes a relaxed BaMn2Tl crystal. The functional is PBE-GGA.

Cell: 4.7596 4.7596 17.4570 Å, 90.00 90.00 120.00°
Space group R-3m (No. 166, hexagonal axes)
Symmetry-distinct sites (fractional):
Ba  0.0000  0.0000  0.0000 [3 per cell]
Mn  0.0000  0.0000  0.1952 [6 per cell]
Tl  0.0000  0.0000  0.5000 [3 per cell]

Calculated values
Theoretical density   6.569 g/cm³
DOS(E_F)   20.7 states/eV per cell
ΔH_f (0 K)   0.4224 eV per atom

[5]
This record from Alexandria via LeMat-Bulk describes a relaxed BaMnTl2 crystal. The functional is PBE-GGA.

Cell: 3.776 3.744 8.113 Å, 90.00 90.08 90.00°
Space group P2/m (No. 10)
Symmetry-distinct sites (fractional):
Ba  0.000  0.000  0.000 [1 per cell]
Mn  0.000  0.000  0.500 [1 per cell]
Tl  0.499  0.500  0.694 [2 per cell]

Calculated values
Theoretical density   8.700 g/cm³
DOS(E_F)   2.7 states/eV per cell
ΔH_f (0 K)   0.0840 eV per atom

[6]
This record from Alexandria via LeMat-Bulk describes a relaxed BaMnTl2 crystal. The functional is PBE-GGA.

Cell: 5.311 5.311 8.684 Å, 90.00 90.00 90.00°
Space group I-4m2 (No. 119)
Symmetry-distinct sites (fractional):
Ba  0.000  0.000  0.000 [2 per cell]
Mn  0.000  0.500  0.750 [2 per cell]
Tl  0.000  0.000  0.500 [2 per cell]
Tl  0.000  0.500  0.250 [2 per cell]

Calculated values
Theoretical density   8.148 g/cm³
DOS(E_F)   5.2 states/eV per cell
ΔH_f (0 K)   0.2326 eV per atom

[7]
This record from Alexandria via LeMat-Bulk describes a relaxed BaMnTl2 crystal. The functional is PBE-GGA.

Cell: 3.799 4.413 7.479 Å, 90.00 90.00 90.00°
Space group Pmm2 (No. 25)
Symmetry-distinct sites (fractional):
Ba  0.000  0.000  0.000 [1 per cell]
Mn  0.500  0.000  0.474 [1 per cell]
Tl  0.000  0.500  0.377 [1 per cell]
Tl  0.500  0.500  0.730 [1 per cell]

Calculated values
Theoretical density   7.960 g/cm³
DOS(E_F)   2.7 states/eV per cell
ΔH_f (0 K)   0.1548 eV per atom

[8]
This record from Alexandria via LeMat-Bulk describes a relaxed BaMn2Tl crystal. The functional is PBE-GGA.

Cell: 8.477 8.477 6.716 Å, 90.00 90.00 90.00°
Space group I-42d (No. 122)
Symmetry-distinct sites (fractional):
Ba  0.000  0.000  0.000 [4 per cell]
Mn  0.193  0.250  0.625 [8 per cell]
Tl  0.000  0.000  0.500 [4 per cell]

Calculated values
Theoretical density   6.215 g/cm³
DOS(E_F)   12.9 states/eV per cell
ΔH_f (0 K)   0.7463 eV per atom